La4Tb5Cd after structural relaxation, computed with PBE.

Structure (POSCAR):
```
La4Tb5Cd
1.0
-5.462 0.538 1.986
-0.134 -0.136 8.244
-1.925 7.938 1.133
Tb La Cd
5 4 1
direct
0.772 0.000 0.366 Tb
0.652 0.000 0.000 Tb
0.138 0.634 0.000 Tb
0.138 0.000 0.634 Tb
0.772 0.366 0.000 Tb
0.154 0.313 0.313 La
0.780 0.687 0.687 La
0.467 0.313 0.687 La
0.467 0.687 0.313 La
0.170 0.000 0.000 Cd
```

## Properties
**Final energy**: -4.2911 eV/atom
**Mass density**: 6.996 g/cm3
**SG**: I4mm, No. 107
**Energy above the lowest structure with this stoichiometry**: 1.32 eV per formula unit